A) Density functional theory data (PBE) for NaTcAu2 after structural relaxation.

Cell: 6.621 6.621 6.621 Å, 90.00 90.00 90.00°
Space group Fm-3m (No. 225)
One atom of each set of equivalent atoms:
Na 0.000 0.000 0.000
Tc 0.000 0.000 0.500
Au 0.250 0.250 0.250

The density comes out at 11.78 g/cm3. The calculation puts the density of states at the Fermi level at 13.11 states/eV/cell.

B) Density functional theory data (PBE) for NaTcAu2 after structural relaxation.

Cell: 4.099 4.099 19.072 Å, 90.00 90.00 90.00°
Space group I-42d (No. 122)
One atom of each set of equivalent atoms:
Na 0.000 0.000 0.000
Tc 0.000 0.000 0.500
Au 0.248 0.250 0.625

The density comes out at 10.68 g/cm3. The calculation puts the density of states at the Fermi level at 8.54 states/eV/cell.

A) wins, 427 meV per atom ahead of the next structure.

A) Density functional theory data (PBE) for NaTc3Au after structural relaxation.

Cell: 4.461 4.461 4.461 Å, 90.00 90.00 90.00°
Space group Pm-3m (No. 221)
One atom of each set of equivalent atoms:
Na 0.000 0.000 0.000
Tc 0.000 0.000 0.500
Au 0.500 0.500 0.500

The density comes out at 9.62 g/cm3. The calculation puts the density of states at the Fermi level at 4.39 states/eV/cell.

B) Density functional theory data (PBE) for NaTc3Au after structural relaxation.

Cell: 5.060 5.060 5.060 Å, 90.00 90.00 90.00°
Space group Pm-3m (No. 221)
One atom of each set of equivalent atoms:
Na 0.000 0.000 0.000
Tc 0.000 0.500 0.500
Au 0.500 0.500 0.500

The density comes out at 6.59 g/cm3. The calculation puts the density of states at the Fermi level at 6.58 states/eV/cell.

B) wins, 377 meV per atom ahead of the next structure.

A) Density functional theory data (PBE) for Na3TeAu after structural relaxation.

Cell: 5.814 5.814 5.814 Å, 90.00 90.00 90.00°
Space group Pm-3m (No. 221)
One atom of each set of equivalent atoms:
Na 0.000 0.000 0.500
Te 0.000 0.000 0.000
Au 0.500 0.500 0.500

The density comes out at 3.32 g/cm3. The calculation puts the density of states at the Fermi level at 0.00 states/eV/cell.

B) Density functional theory data (PBE) for Na3TeAu after structural relaxation.

Cell: 4.705 8.014 7.329 Å, 90.00 90.23 90.00°
Space group P2_1/m (No. 11)
One atom of each set of equivalent atoms:
Na 0.247 0.041 0.250
Na 0.251 0.250 0.726
Te 0.253 0.750 0.574
Au 0.244 0.750 0.980

The density comes out at 4.73 g/cm3. The calculation puts the density of states at the Fermi level at 1.80 states/eV/cell.

B) wins, 118 meV per atom ahead of the next structure.

A) Density functional theory data (PBE) for NaTi2Au after structural relaxation.

Cell: 6.633 6.633 6.633 Å, 90.00 90.00 90.00°
Space group Fm-3m (No. 225)
One atom of each set of equivalent atoms:
Na 0.000 0.000 0.000
Ti 0.250 0.250 0.250
Au 0.000 0.000 0.500

The density comes out at 7.19 g/cm3. The calculation puts the density of states at the Fermi level at 13.41 states/eV/cell.

B) Density functional theory data (PBE) for NaTi2Au after structural relaxation.

Cell: 3.877 3.877 20.559 Å, 90.00 90.00 90.00°
Space group I-42d (No. 122)
One atom of each set of equivalent atoms:
Na 0.000 0.000 0.000
Ti 0.231 0.250 0.625
Au 0.000 0.000 0.500

The density comes out at 6.79 g/cm3. The calculation puts the density of states at the Fermi level at 23.86 states/eV/cell.

A) wins, 152 meV per atom ahead of the next structure.

A) Density functional theory data (PBE) for Na2Tl2Au after structural relaxation.

Cell: 4.119 4.119 16.079 Å, 90.00 90.00 90.00°
Space group I4/mmm (No. 139)
One atom of each set of equivalent atoms:
Na 0.000 0.500 0.250
Tl 0.000 0.000 0.092
Au 0.000 0.000 0.500

The density comes out at 7.93 g/cm3. The calculation puts the density of states at the Fermi level at 3.65 states/eV/cell.

B) Density functional theory data (PBE) for Na2Tl2Au after structural relaxation.

Cell: 7.523 7.523 4.984 Å, 90.00 90.00 90.00°
Space group P4/mbm (No. 127)
One atom of each set of equivalent atoms:
Na 0.170 0.330 0.000
Tl 0.143 0.643 0.500
Au 0.000 0.000 0.500

The density comes out at 7.67 g/cm3. The calculation puts the density of states at the Fermi level at 4.58 states/eV/cell.

C) Density functional theory data (PBE) for Na2Tl2Au after structural relaxation.

Cell: 7.478 7.478 4.903 Å, 90.00 90.00 90.00°
Space group P4/mbm (No. 127)
One atom of each set of equivalent atoms:
Na 0.145 0.355 0.000
Tl 0.170 0.670 0.500
Au 0.000 0.000 0.000

The density comes out at 7.90 g/cm3. The calculation puts the density of states at the Fermi level at 3.06 states/eV/cell.

D) Density functional theory data (PBE) for Na2Tl2Au after structural relaxation.

Cell: 4.849 4.849 24.083 Å, 90.00 90.00 90.00°
Space group I4_1/amd (No. 141, origin choice 2)
One atom of each set of equivalent atoms:
Na 0.000 0.250 0.055
Tl 0.000 0.250 0.199
Au 0.000 0.250 0.375

The density comes out at 7.64 g/cm3. The calculation puts the density of states at the Fermi level at 9.30 states/eV/cell.

D) wins, 44 meV per atom ahead of the next structure.

A) Density functional theory data (PBE) for Na2TlAu2 after structural relaxation.

Cell: 8.978 8.978 2.931 Å, 90.00 90.00 90.00°
Space group P4/mbm (No. 127)
One atom of each set of equivalent atoms:
Na 0.133 0.367 0.000
Tl 0.000 0.000 0.000
Au 0.163 0.663 0.500

The density comes out at 9.06 g/cm3. The calculation puts the density of states at the Fermi level at 3.04 states/eV/cell.

B) Density functional theory data (PBE) for Na2TlAu2 after structural relaxation.

Cell: 4.477 14.725 3.804 Å, 90.00 90.00 90.00°
Space group Cmmm (No. 65)
One atom of each set of equivalent atoms:
Na 0.000 0.139 0.000
Tl 0.000 0.500 0.500
Au 0.000 0.308 0.500

The density comes out at 8.53 g/cm3. The calculation puts the density of states at the Fermi level at 3.19 states/eV/cell.

B) wins, 68 meV per atom ahead of the next structure.

A) Density functional theory data (PBE) for Na2TlAu2 after structural relaxation.

Cell: 10.384 5.795 8.449 Å, 90.00 104.88 90.00°
Space group C2/c (No. 15)
One atom of each set of equivalent atoms:
Na 0.155 0.150 0.154
Tl 0.000 0.301 0.750
Au 0.135 0.370 0.492

The density comes out at 8.71 g/cm3. The calculation puts the density of states at the Fermi level at 6.73 states/eV/cell.

B) Density functional theory data (PBE) for Na2TlAu2 after structural relaxation.

Cell: 4.391 4.391 13.413 Å, 90.00 90.00 90.00°
Space group I4/mmm (No. 139)
One atom of each set of equivalent atoms:
Na 0.000 0.500 0.250
Tl 0.000 0.000 0.000
Au 0.000 0.000 0.397

The density comes out at 8.27 g/cm3. The calculation puts the density of states at the Fermi level at 4.30 states/eV/cell.

A) wins, 138 meV per atom ahead of the next structure.

A) Density functional theory data (PBE) for Na2Tl6Au after structural relaxation.

Cell: 3.540 5.344 26.862 Å, 90.00 90.00 90.00°
Space group Amm2 (No. 38)
One atom of each set of equivalent atoms:
Na 0.000 0.000 0.000
Na 0.000 0.000 0.340
Tl 0.000 0.000 0.648
Tl 0.000 0.000 0.770
Tl 0.500 0.000 0.103
Tl 0.500 0.000 0.224
Tl 0.500 0.000 0.446
Tl 0.500 0.000 0.882
Au 0.500 0.000 0.551

The density comes out at 9.60 g/cm3. The calculation puts the density of states at the Fermi level at 8.48 states/eV/cell.

B) Density functional theory data (PBE) for Na2Tl6Au after structural relaxation.

Cell: 3.836 15.229 8.763 Å, 90.00 90.00 90.00°
Space group Amm2 (No. 38)
One atom of each set of equivalent atoms:
Na 0.000 0.168 0.000
Tl 0.000 0.000 0.765
Tl 0.000 0.131 0.367
Tl 0.500 0.000 0.126
Tl 0.500 0.186 0.686
Au 0.500 0.000 0.500

The density comes out at 9.53 g/cm3. The calculation puts the density of states at the Fermi level at 8.57 states/eV/cell.

B) wins, 11 meV per atom ahead of the next structure.